# 1
Compound: V3O7F
Source: the Alexandria database
Functional: SCAN
Structure: single point on PBEsol structure

Magnetization in μB per atom: 0.00
Fermi-level density of states in states/eV per cell: 0.0
DFT total energy in eV per atom: -11.541

Lattice parameters (Å, degrees): 3.585 9.775 14.687 90.00 90.00 90.00
Fractional coordinates of all 44 atoms:
V 0.087 0.750 0.550
V 0.986 0.441 0.663
V 0.986 0.059 0.663
V 0.486 0.941 0.837
V 0.486 0.559 0.837
V 0.587 0.250 0.950
V 0.413 0.750 0.050
V 0.514 0.441 0.163
V 0.514 0.059 0.163
V 0.014 0.941 0.337
V 0.014 0.559 0.337
V 0.913 0.250 0.450
O 0.540 0.750 0.532
O 0.971 0.376 0.561
O 0.971 0.124 0.561
O 0.036 0.886 0.625
O 0.036 0.614 0.625
O 0.519 0.050 0.699
O 0.519 0.450 0.699
O 0.019 0.950 0.801
O 0.019 0.550 0.801
O 0.536 0.386 0.875
O 0.536 0.114 0.875
O 0.471 0.876 0.939
O 0.471 0.624 0.939
O 0.040 0.250 0.968
O 0.960 0.750 0.032
O 0.529 0.376 0.061
O 0.529 0.124 0.061
O 0.464 0.886 0.125
O 0.464 0.614 0.125
O 0.981 0.450 0.199
O 0.981 0.050 0.199
O 0.481 0.950 0.301
O 0.481 0.550 0.301
O 0.964 0.386 0.375
O 0.964 0.114 0.375
O 0.029 0.876 0.439
O 0.029 0.624 0.439
O 0.460 0.250 0.468
F 0.033 0.250 0.715
F 0.533 0.750 0.785
F 0.467 0.250 0.215
F 0.967 0.750 0.285



# 2
Compound: LiNiCl2
Source: the Alexandria database
Functional: SCAN
Structure: single point on PBEsol structure

Magnetization in μB per atom: 0.25
DFT total energy in eV per atom: -9.655

Lattice parameters (Å, degrees): 3.370 3.738 6.522 90.00 90.00 116.80
Fractional coordinates of all 4 atoms:
Cl 0.000 0.000 0.761
Cl 0.000 0.000 0.239
Li 0.500 0.000 0.500
Ni 0.500 0.000 0.000



# 3
Compound: CaZrCd
Source: the Alexandria database
Functional: SCAN
Structure: single point on PBEsol structure

Magnetization in μB per atom: 0.00
Fermi-level density of states in states/eV per cell: 2.2
ΔE_f in eV per atom: 0.170
DFT total energy in eV per atom: -23.422

Lattice parameters (Å, degrees): 3.195 5.128 5.128 120.00 90.00 90.00
Fractional coordinates of all 3 atoms:
Ca 0.986 0.000 0.000
Zr 0.402 0.667 0.333
Cd 0.613 0.333 0.667